(1)
First-principles (PBE) data for a geometry-optimized TmTcTe structure, as listed in Alexandria via LeMat-Bulk.

- Calculated total energy: -38.58 eV for the cell shown
- ρ: 9.9 Mg/m³

Structure (extended XYZ):
```
6
Lattice="4.419 0.000 0.000 0.000 4.430 0.000 -0.015 0.000 6.769" Properties=species:S:1:pos:R:3 pbc="T T T"
Tm 1.096 1.107 1.399
Tm 3.307 3.322 5.370
Tc 1.094 3.322 3.386
Tc 3.309 1.107 3.383
Te 1.099 1.107 4.967
Te 3.305 3.322 1.802
```

(2)
First-principles (PBE) data for a geometry-optimized Tb8Ho4Th3 structure, as listed in Alexandria via LeMat-Bulk.

- Formation energy from the elements: 0.43 eV/atom
- ρ: 8.8 Mg/m³

Structure (extended XYZ):
```
15
Lattice="6.657 -6.427 0.000 6.657 6.427 0.000 -3.363 0.000 5.822" Properties=species:S:1:pos:R:3 pbc="T T T"
Tb 6.657 4.570 0.000
Tb 3.078 0.000 0.015
Tb 1.543 0.000 2.839
Tb 4.975 3.282 2.911
Tb 4.975 -3.282 2.911
Tb 8.408 0.000 2.983
Tb 6.873 0.000 5.806
Tb 6.657 -4.570 0.000
Ho -1.682 0.000 2.911
Ho 1.647 3.213 2.911
Ho 1.647 -3.213 2.911
Ho 6.657 0.000 0.000
Th 3.329 3.213 0.000
Th 3.329 -3.213 0.000
Th 4.975 0.000 2.911
```

(3)
First-principles (PBE) data for a geometry-optimized SrReSiAu2 structure, as listed in Alexandria via LeMat-Bulk.

- Calculated total energy: -19.93 eV for the cell shown
- ρ: 8.1 Mg/m³

Structure (extended XYZ):
```
5
Lattice="5.028 0.000 0.000 0.000 5.028 0.000 0.000 0.000 5.656" Properties=species:S:1:pos:R:3 pbc="T T T"
Sr 0.000 0.000 0.000
Re 0.000 0.000 2.828
Si 2.514 2.514 0.000
Au 0.000 2.514 2.828
Au 2.514 0.000 2.828
```

(4)
First-principles (PBE) data for a geometry-optimized NaLiAc2 structure, as listed in Alexandria via LeMat-Bulk.

- Energy above the lowest structure with this stoichiometry: 37 meV per atom
- Formation energy from the elements: 0.20 eV/atom
- ρ: 5.4 Mg/m³

Structure (extended XYZ):
```
16
Lattice="8.420 0.000 0.000 0.000 8.420 0.000 0.000 0.000 8.420" Properties=species:S:1:pos:R:3 pbc="T T T"
Na 0.000 0.000 0.000
Na 0.000 4.210 4.210
Na 4.210 0.000 4.210
Na 4.210 4.210 0.000
Li 0.000 0.000 4.210
Li 0.000 4.210 0.000
Li 4.210 0.000 0.000
Li 4.210 4.210 4.210
Ac 2.105 2.105 2.105
Ac 2.105 2.105 6.315
Ac 2.105 6.315 2.105
Ac 2.105 6.315 6.315
Ac 6.315 2.105 2.105
Ac 6.315 2.105 6.315
Ac 6.315 6.315 2.105
Ac 6.315 6.315 6.315
```

(5)
First-principles (PBE) data for a geometry-optimized Ca2BeGa structure, as listed in Alexandria via LeMat-Bulk.

- Energy above the lowest structure with this stoichiometry: 383 meV per atom
- Formation energy from the elements: 0.37 eV/atom
- ρ: 2.5 Mg/m³

Structure (extended XYZ):
```
16
Lattice="8.016 0.000 0.000 0.000 8.016 0.000 0.000 0.000 6.631" Properties=species:S:1:pos:R:3 pbc="T T T"
Ca 1.869 2.004 0.829
Ca 2.004 5.877 2.487
Ca 2.004 6.147 5.802
Ca 2.139 2.004 4.144
Ca 5.877 6.012 4.144
Ca 6.012 1.869 5.802
Ca 6.012 2.139 2.487
Ca 6.147 6.012 0.829
Be 0.000 0.000 0.000
Be 0.000 4.008 1.658
Be 4.008 0.000 4.973
Be 4.008 4.008 3.316
Ga 0.000 0.000 3.316
Ga 0.000 4.008 4.973
Ga 4.008 0.000 1.658
Ga 4.008 4.008 0.000
```

(6)
First-principles (PBE) data for a geometry-optimized Dy6Er5Tl structure, as listed in Alexandria via LeMat-Bulk.

- Formation energy from the elements: -0.01 eV/atom
- ρ: 9.2 Mg/m³

Structure (extended XYZ):
```
12
Lattice="3.034 -5.257 0.000 3.034 5.257 0.000 -2.032 0.000 11.391" Properties=species:S:1:pos:R:3 pbc="T T T"
Dy -0.016 1.736 8.522
Dy 0.991 0.000 2.854
Dy -0.016 -1.736 8.522
Dy 4.052 1.736 2.868
Dy 3.044 0.000 8.537
Dy 4.052 -1.736 2.868
Er 3.034 3.502 0.000
Er 2.018 1.748 5.695
Er 3.034 0.000 0.000
Er 2.018 -1.748 5.695
Er 3.034 -3.502 0.000
Tl -1.016 0.000 5.695
```

(7)
First-principles (PBE) data for a geometry-optimized AlCoPt2 structure, as listed in Alexandria via LeMat-Bulk.

- Formation energy from the elements: -0.34 eV/atom
- ρ: 13.7 Mg/m³

Structure (extended XYZ):
```
16
Lattice="6.130 0.000 0.000 0.000 6.130 0.000 0.000 0.000 6.130" Properties=species:S:1:pos:R:3 pbc="T T T"
Al 0.000 0.000 0.000
Al 0.000 3.065 3.065
Al 3.065 0.000 3.065
Al 3.065 3.065 0.000
Co 1.532 1.532 4.597
Co 1.532 4.597 1.532
Co 4.597 1.532 1.532
Co 4.597 4.597 4.597
Pt 0.000 0.000 3.065
Pt 0.000 3.065 0.000
Pt 1.532 1.532 1.532
Pt 1.532 4.597 4.597
Pt 3.065 0.000 0.000
Pt 3.065 3.065 3.065
Pt 4.597 1.532 4.597
Pt 4.597 4.597 1.532
```

(8)
First-principles (PBE) data for a geometry-optimized Be2RuW structure, as listed in Alexandria via LeMat-Bulk.

- Energy above the lowest structure with this stoichiometry: 323 meV per atom
- Formation energy from the elements: 0.16 eV/atom
- ρ: 10.2 Mg/m³

Structure (extended XYZ):
```
8
Lattice="2.928 0.000 0.000 0.000 4.317 0.000 0.000 0.000 7.837" Properties=species:S:1:pos:R:3 pbc="T T T"
Be 0.000 0.000 1.881
Be 0.000 0.000 5.957
Be 1.464 2.159 2.038
Be 1.464 2.159 5.799
Ru 0.000 2.159 3.919
Ru 1.464 0.000 0.000
W 0.000 2.159 0.000
W 1.464 0.000 3.919
```

(9)
First-principles (PBE) data for a geometry-optimized Ba2Cd6NiRh structure, as listed in Alexandria via LeMat-Bulk.

- Formation energy from the elements: -0.21 eV/atom
- ρ: 6.6 Mg/m³

Structure (extended XYZ):
```
10
Lattice="-3.671 3.671 5.206 3.671 -3.671 5.206 3.671 3.671 -5.206" Properties=species:S:1:pos:R:3 pbc="T T T"
Ba 3.671 0.000 2.603
Ba 0.000 3.671 2.603
Cd 0.000 0.000 2.549
Cd 1.797 1.797 0.000
Cd 1.875 -1.875 5.206
Cd -1.875 1.875 5.206
Cd 0.000 0.000 7.864
Cd 1.875 1.875 5.206
Ni 0.000 0.000 0.000
Rh 0.000 0.000 5.206
```

(10)
First-principles (PBE) data for a geometry-optimized Sr3Co5N12 structure, as listed in Alexandria via LeMat-Bulk.

- Calculated total energy: -524.65 eV for the cell shown
- ρ: 5.1 Mg/m³

Structure (extended XYZ):
```
80
Lattice="-6.199 6.199 6.199 6.199 -6.199 6.199 6.199 6.199 -6.199" Properties=species:S:1:pos:R:3 pbc="T T T"
Sr 3.099 1.550 0.000
Sr 6.199 3.099 -1.550
Sr 1.550 0.000 3.099
Sr 7.748 0.000 3.099
Sr 0.000 3.099 1.550
Sr 3.099 -1.550 6.199
Sr 3.099 7.748 0.000
Sr 6.199 3.099 4.649
Sr -1.550 6.199 3.099
Sr 4.649 6.199 3.099
Sr 0.000 3.099 7.748
Sr 3.099 4.649 6.199
Co 0.000 0.000 0.000
Co 3.099 3.099 -3.099
Co 3.099 -3.099 3.099
Co 6.199 0.000 0.000
Co 9.298 1.550 0.000
Co 6.199 -3.099 4.649
Co 4.649 6.199 -3.099
Co 4.649 0.000 3.099
Co 3.099 4.649 0.000
Co 6.199 3.099 1.550
Co -3.099 3.099 3.099
Co 0.000 6.199 0.000
Co 0.000 0.000 6.199
Co 3.099 3.099 3.099
Co 0.000 3.099 4.649
Co 3.099 1.550 6.199
Co 1.550 6.199 3.099
Co 1.550 0.000 9.298
Co 0.000 9.298 1.550
Co -3.099 4.649 6.199
N 4.878 -3.682 3.693
N 10.619 0.594 -0.582
N 7.977 0.594 0.582
N 7.519 -2.517 3.693
N 3.693 4.878 -3.682
N 5.605 -0.582 1.778
N 8.716 2.506 -1.321
N 6.781 -4.420 5.605
N 5.605 6.781 -4.420
N 3.693 -1.321 3.682
N 3.682 3.693 -1.321
N 5.616 1.778 0.594
N 9.880 2.506 1.321
N 5.616 -1.778 5.605
N 5.605 5.616 -1.778
N 3.693 1.321 2.517
N 3.693 7.519 -2.517
N 2.517 3.693 1.321
N 6.781 4.420 0.594
N 5.605 0.582 4.420
N 1.778 5.605 -0.582
N 7.519 2.517 2.506
N 4.420 5.605 0.582
N 4.878 3.682 2.506
N 1.321 2.517 3.693
N 1.778 0.594 5.616
N -1.321 3.682 3.693
N 4.420 0.594 6.781
N 0.594 5.616 1.778
N -0.582 1.778 5.605
N 3.682 2.506 4.878
N 2.506 -1.321 8.716
N 2.506 4.878 3.682
N 0.594 0.582 7.977
N 0.582 7.977 0.594
N -3.682 3.693 4.878
N 0.582 4.420 5.605
N 2.517 2.506 7.519
N 2.506 7.519 2.517
N 0.594 -0.582 10.619
N -0.582 10.619 0.594
N -2.517 3.693 7.519
N 0.594 6.781 4.420
N 2.506 1.321 9.880
N -1.321 8.716 2.506
N -1.778 5.605 5.616
N -4.420 5.605 6.781
N 1.321 9.880 2.506
```

(11)
First-principles (PBE) data for a geometry-optimized Ac5Ir2Pb2 structure, as listed in Alexandria via LeMat-Bulk.

- Energy above the lowest structure with this stoichiometry: 104 meV per atom
- Formation energy from the elements: -0.43 eV/atom
- ρ: 9.1 Mg/m³

Structure (extended XYZ):
```
18
Lattice="-10.804 4.322 3.788 10.804 -4.322 3.788 10.804 4.322 -3.788" Properties=species:S:1:pos:R:3 pbc="T T T"
Ac 16.206 -0.923 1.419
Ac 0.430 2.118 0.000
Ac 10.374 2.118 0.000
Ac 5.402 0.923 1.419
Ac -3.004 3.627 1.868
Ac 3.004 -0.695 5.656
Ac 0.430 2.204 3.788
Ac 10.374 2.204 3.788
Ac 3.004 5.016 1.868
Ac 7.800 5.016 1.868
Ir 5.402 3.646 2.321
Ir 0.000 4.322 1.854
Ir 0.000 0.000 5.642
Ir -5.402 4.998 2.321
Pb 2.205 -0.298 1.944
Pb 8.599 -0.298 1.944
Pb 8.599 4.620 -1.844
Pb 13.009 0.298 1.944
```

(12)
First-principles (PBE) data for a geometry-optimized IrAuNF structure, as listed in Alexandria via LeMat-Bulk.

- Energy above the lowest structure with this stoichiometry: 251 meV per atom
- ρ: 10.2 Mg/m³

Structure (extended XYZ):
```
8
Lattice="10.420 0.000 0.000 0.000 4.782 0.000 -0.770 0.000 2.755" Properties=species:S:1:pos:R:3 pbc="T T T"
Ir 0.000 0.000 0.000
Ir 5.210 2.391 0.000
Au -0.194 2.391 1.431
Au 5.016 0.000 1.431
N 2.828 2.391 2.304
N 8.038 0.000 2.304
F 1.895 0.000 0.529
F 7.105 2.391 0.529
```

(13)
First-principles (PBE) data for a geometry-optimized K2TlOF3 structure, as listed in Alexandria via LeMat-Bulk.

- Calculated total energy: -58.70 eV for the cell shown
- ρ: 4.4 Mg/m³

Structure (extended XYZ):
```
14
Lattice="4.142 0.000 0.000 0.000 4.658 0.000 0.000 0.000 13.793" Properties=species:S:1:pos:R:3 pbc="T T T"
K 0.000 0.000 2.000
K 0.000 0.000 11.794
K 2.071 2.329 4.897
K 2.071 2.329 8.896
Tl 0.000 0.000 6.897
Tl 2.071 2.329 0.000
O 0.000 2.329 0.000
O 2.071 0.000 6.897
F 0.000 0.000 4.582
F 0.000 0.000 9.212
F 0.000 2.329 6.897
F 2.071 0.000 0.000
F 2.071 2.329 2.315
F 2.071 2.329 11.478
```

(14)
First-principles (PBE) data for a geometry-optimized HoCuTe2 structure, as listed in Alexandria via LeMat-Bulk.

- Calculated total energy: -18.41 eV for the cell shown
- ρ: 6.4 Mg/m³

Structure (extended XYZ):
```
4
Lattice="4.417 0.000 0.000 -2.208 3.826 0.000 -0.027 -0.037 7.459" Properties=species:S:1:pos:R:3 pbc="T T T"
Ho 0.000 0.000 0.000
Cu 2.181 1.238 6.067
Te -0.027 2.514 5.305
Te 2.209 1.276 1.543
```

(15)
First-principles (PBE) data for a geometry-optimized VCrHRh2 structure, as listed in Alexandria via LeMat-Bulk.

- Energy above the lowest structure with this stoichiometry: 53 meV per atom
- ρ: 9.2 Mg/m³

Structure (extended XYZ):
```
5
Lattice="3.800 0.000 0.000 0.000 3.800 0.000 0.000 0.000 3.857" Properties=species:S:1:pos:R:3 pbc="T T T"
V 0.000 0.000 0.000
Cr 1.900 1.900 0.000
H 0.000 0.000 1.929
Rh 0.000 1.900 1.929
Rh 1.900 0.000 1.929
```

(16)
First-principles (PBE) data for a geometry-optimized Na4Cd2As structure, as listed in Alexandria via LeMat-Bulk.

- Formation energy from the elements: -0.07 eV/atom
- ρ: 2.6 Mg/m³

Structure (extended XYZ):
```
14
Lattice="5.693 0.000 0.000 0.000 5.693 0.000 0.000 0.000 15.161" Properties=species:S:1:pos:R:3 pbc="T T T"
Na 0.000 0.000 2.797
Na 0.000 0.000 12.364
Na 0.000 2.846 0.000
Na 0.000 2.846 7.581
Na 2.846 0.000 0.000
Na 2.846 0.000 7.581
Na 2.846 2.846 4.783
Na 2.846 2.846 10.378
Cd 0.000 0.000 6.003
Cd 0.000 0.000 9.158
Cd 2.846 2.846 1.578
Cd 2.846 2.846 13.584
As 0.000 0.000 0.000
As 2.846 2.846 7.581
```

(17)
First-principles (PBE) data for a geometry-optimized LiWAu2 structure, as listed in Alexandria via LeMat-Bulk.

- Energy above the lowest structure with this stoichiometry: 19 meV per atom
- Formation energy from the elements: 0.04 eV/atom
- ρ: 15.1 Mg/m³

Structure (extended XYZ):
```
8
Lattice="3.965 0.000 0.000 0.000 3.972 0.000 0.000 0.000 8.145" Properties=species:S:1:pos:R:3 pbc="T T T"
Li 0.000 0.000 0.000
Li 1.982 1.986 0.000
W 0.000 0.000 4.072
W 1.982 1.986 4.072
Au 0.000 1.986 1.965
Au 0.000 1.986 6.180
Au 1.982 0.000 1.965
Au 1.982 0.000 6.180
```

(18)
First-principles (PBE) data for a geometry-optimized CeDy2Np structure, as listed in Alexandria via LeMat-Bulk.

- Formation energy from the elements: 0.46 eV/atom
- ρ: 10.0 Mg/m³

Structure (extended XYZ):
```
12
Lattice="3.335 0.000 0.000 -1.667 2.888 0.000 0.000 0.000 36.360" Properties=species:S:1:pos:R:3 pbc="T T T"
Ce 0.000 0.000 0.000
Ce 0.000 1.925 24.240
Ce 1.667 0.963 12.120
Dy 0.000 0.000 14.922
Dy 0.000 0.000 21.439
Dy 0.000 1.925 2.802
Dy 0.000 1.925 9.319
Dy 1.667 0.963 27.042
Dy 1.667 0.963 33.559
Np 0.000 0.000 18.180
Np 0.000 1.925 6.060
Np 1.667 0.963 30.300
```

(19)
First-principles (PBE) data for a geometry-optimized CaTa2Tc structure, as listed in Alexandria via LeMat-Bulk.

- Energy above the lowest structure with this stoichiometry: 0 meV per atom
- Formation energy from the elements: 0.27 eV/atom
- ρ: 10.1 Mg/m³

Structure (extended XYZ):
```
4
Lattice="3.229 0.000 0.000 0.000 3.229 0.000 0.000 0.000 7.847" Properties=species:S:1:pos:R:3 pbc="T T T"
Ca 0.000 0.000 0.000
Ta 0.000 0.000 4.352
Ta 1.615 1.615 2.606
Tc 1.615 1.615 5.709
```

(20)
First-principles (PBE) data for a geometry-optimized Si2PtCl2 structure, as listed in Alexandria via LeMat-Bulk.

- Energy above the lowest structure with this stoichiometry: 150 meV per atom
- ρ: 5.1 Mg/m³

Structure (extended XYZ):
```
10
Lattice="5.373 0.000 0.000 0.000 5.373 0.000 0.000 0.000 7.285" Properties=species:S:1:pos:R:3 pbc="T T T"
Si 0.000 2.687 1.821
Si 0.000 2.687 5.464
Si 2.687 0.000 1.821
Si 2.687 0.000 5.464
Pt 0.000 0.000 0.000
Pt 2.687 2.687 3.642
Cl 0.000 0.000 2.271
Cl 0.000 0.000 5.014
Cl 2.687 2.687 1.371
Cl 2.687 2.687 5.913
```

(21)
First-principles (PBE) data for a geometry-optimized LiHgPb structure, as listed in Alexandria via LeMat-Bulk.

- Energy above the lowest structure with this stoichiometry: 73 meV per atom
- Formation energy from the elements: -0.14 eV/atom
- ρ: 8.6 Mg/m³

Structure (extended XYZ):
```
12
Lattice="6.855 0.000 0.000 0.000 6.855 0.000 0.000 0.000 6.855" Properties=species:S:1:pos:R:3 pbc="T T T"
Li 0.000 0.000 0.000
Li 0.000 3.427 3.427
Li 3.427 0.000 3.427
Li 3.427 3.427 0.000
Hg 1.714 1.714 1.714
Hg 1.714 5.141 5.141
Hg 5.141 1.714 5.141
Hg 5.141 5.141 1.714
Pb 0.000 0.000 3.427
Pb 0.000 3.427 0.000
Pb 3.427 0.000 0.000
Pb 3.427 3.427 3.427
```

(22)
First-principles (PBE) data for a geometry-optimized Ca2BiPtN structure, as listed in Alexandria via LeMat-Bulk.

- Calculated total energy: -25.56 eV for the cell shown
- ρ: 7.5 Mg/m³

Structure (extended XYZ):
```
5
Lattice="5.371 0.000 0.000 0.000 5.371 0.000 0.000 0.000 3.848" Properties=species:S:1:pos:R:3 pbc="T T T"
Ca 0.000 2.685 0.000
Ca 2.685 0.000 0.000
Bi 0.000 0.000 1.924
Pt 2.685 2.685 1.924
N 2.685 2.685 0.000
```